1.
InHg2BiSb | GGA-PBE | optimized geometry

The calculation puts the raw formation energy at 424 meV per atom.

The space group is P4/mmm (No. 123) and the conventional cell measures 5.4108, 5.4108 and 5.8339 Å, with angles of 90.00, 90.00 and 90.00 degrees. The inequivalent atoms are In at (0.0000, 0.0000, 0.0000), Hg at (0.0000, 0.5000, 0.0000), Bi at (0.5000, 0.5000, 0.5000) and Sb at (0.0000, 0.0000, 0.5000).

---

2.
In4Hg2BiSe | GGA-PBE | optimized geometry

The calculation puts the raw formation energy at -104 meV per atom.

The space group is P2/m (No. 10) and the conventional cell measures 7.3372, 4.5630 and 7.5360 Å, with angles of 90.00, 111.18 and 90.00 degrees. The inequivalent atoms are In at (0.2405, 0.0000, 0.2278), In at (0.2458, 0.5000, 0.7675), Hg at (0.5000, 0.0000, 0.0000), Hg at (0.5000, 0.5000, 0.5000), Bi at (0.0000, 0.0000, 0.5000) and Se at (0.0000, 0.5000, 0.0000).

---

3.
InSi2HgBi | GGA-PBE | optimized geometry

The calculation puts the raw formation energy at 954 meV per atom.

The space group is P4/mmm (No. 123) and the conventional cell measures 4.9966, 4.9966 and 6.0118 Å, with angles of 90.00, 90.00 and 90.00 degrees. The inequivalent atoms are In at (0.0000, 0.0000, 0.0000), Si at (0.0000, 0.5000, 0.5000), Hg at (0.5000, 0.5000, 0.5000) and Bi at (0.5000, 0.5000, 0.0000).

---

4.
In6SnHg3Bi2 | GGA-PBE | optimized geometry

Its formation enthalpy at 0 K is 0.027 eV/atom.

The space group is C2/m (No. 12) and the conventional cell measures 18.8512, 5.2989 and 6.9704 Å, with angles of 90.00, 98.45 and 90.00 degrees. The inequivalent atoms are In at (0.0134, 0.0000, 0.2505), In at (0.1624, 0.5000, 0.5793), In at (0.1743, 0.5000, 0.1043), Sn at (0.0000, 0.5000, 0.5000), Hg at (0.0000, 0.5000, 0.0000), Hg at (0.1765, 0.0000, 0.3462) and Bi at (0.1556, 0.0000, 0.8389).

---

5.
InSnHg4Bi | GGA-PBE | optimized geometry

Its formation enthalpy at 0 K is 0.059 eV/atom.

The space group is C2/m (No. 12) and the conventional cell measures 13.9747, 6.3768 and 9.1245 Å, with angles of 90.00, 102.72 and 90.00 degrees. The inequivalent atoms are In at (0.0416, 0.0000, 0.3587), Sn at (0.1156, 0.5000, 0.0376), Hg at (0.1119, 0.0000, 0.0635), Hg at (0.1882, 0.2405, 0.7763), Hg at (0.2429, 0.5000, 0.5024) and Bi at (0.0234, 0.5000, 0.3303).

---

6.
InSnHgBi | GGA-PBE | optimized geometry

The value obtained for the distance to the lowest polymorph of the same formula is 0 meV per atom. Its formation enthalpy at 0 K is 0.064 eV/atom.

The space group is F-43m (No. 216) and the conventional cell measures 7.7505, 7.7505 and 7.7505 Å, with angles of 90.00, 90.00 and 90.00 degrees. The inequivalent atoms are In at (0.0000, 0.0000, 0.0000), Sn at (0.0000, 0.0000, 0.5000), Hg at (0.2500, 0.2500, 0.2500) and Bi at (0.2500, 0.2500, 0.7500).

---

Number 1: D(E_F) 0.8539 states/eV/atom, total magnetic moment 0.00 μB/f.u.. Number 2: D(E_F) 0.3673 states/eV/atom, total magnetic moment 0.00 μB/f.u.. Number 3: D(E_F) 0.5573 states/eV/atom, total magnetic moment 0.00 μB/f.u.. Number 4: D(E_F) 0.3977 states/eV/atom, total magnetic moment 0.00 μB/f.u.. Number 5: D(E_F) 0.3830 states/eV/atom, total magnetic moment 0.00 μB/f.u.. Number 6: D(E_F) 0.8222 states/eV/atom, total magnetic moment 0.00 μB/f.u..